A plane-wave DFT calculation with GGA-PBEsol was carried out for an optimized crystal structure of KTa4Re.

Results
Density = 13.72 g/cm3
Energy relative to the elements = 1189.8 meV per atom
Final energy = -57.531 eV per cell

a = 5.4559 Å, b = 5.4559 Å, c = 5.4559 Å
α = 60.00°, β = 60.00°, γ = 60.00°
Element x y z (fractional)
K: 0.0000 0.0000 0.0000
Ta: 0.1273 0.6242 0.6242
Ta: 0.6242 0.1273 0.6242
Ta: 0.6242 0.6242 0.1273
Ta: 0.6242 0.6242 0.6242
Re: 0.2500 0.2500 0.2500

***

A plane-wave DFT calculation with GGA-PBEsol was carried out for an optimized crystal structure of K2ReTc.

Results
Density = 7.79 g/cm3
Offset from the most stable computed form = 565 meV/atom
Energy relative to the elements = 1419.6 meV per atom
Final energy = -21.187 eV per cell

a = 11.9357 Å, b = 11.9357 Å, c = 11.9357 Å
α = 13.21°, β = 13.21°, γ = 13.21°
Element x y z (fractional)
K: 0.2502 0.2502 0.2502
K: 0.7498 0.7498 0.7498
Re: 0.5000 0.5000 0.5000
Tc: 0.0000 0.0000 0.0000

***

A plane-wave DFT calculation with GGA-PBEsol was carried out for an optimized crystal structure of K2ReTc.

Results
Density = 5.57 g/cm3
Offset from the most stable computed form = 0 meV/atom
Energy relative to the elements = 854.9 meV per atom
Final energy = -23.445 eV per cell

a = 3.1729 Å, b = 3.1729 Å, c = 10.7315 Å
α = 90.00°, β = 90.00°, γ = 90.00°
Element x y z (fractional)
K: 0.0000 0.0000 0.0000
K: 0.5000 0.5000 0.4069
Re: 0.0000 0.0000 0.6515
Tc: 0.5000 0.5000 0.7548

***

A plane-wave DFT calculation with GGA-PBEsol was carried out for an optimized crystal structure of KReTc3.

Results
Density = 8.03 g/cm3
Energy relative to the elements = 1782.7 meV per atom
Final energy = -39.351 eV per cell

a = 4.7535 Å, b = 4.7535 Å, c = 4.7535 Å
α = 90.00°, β = 90.00°, γ = 90.00°
Element x y z (fractional)
K: 0.0000 0.0000 0.0000
Re: 0.5000 0.5000 0.5000
Tc: 0.0000 0.5000 0.5000
Tc: 0.5000 0.0000 0.5000
Tc: 0.5000 0.5000 0.0000

***

A plane-wave DFT calculation with GGA-PBEsol was carried out for an optimized crystal structure of K2ReTe.

Results
Density = 6.84 g/cm3
Formation energy from raw total energies = 902 meV per atom
Final energy = -15.518 eV per cell

a = 2.9253 Å, b = 5.5113 Å, c = 5.9051 Å
α = 90.00°, β = 90.00°, γ = 90.00°
Element x y z (fractional)
K: 0.0000 0.0000 0.2469
K: 0.0000 0.0000 0.7531
Re: 0.5000 0.5000 0.0000
Te: 0.5000 0.5000 0.5000

***

A plane-wave DFT calculation with GGA-PBEsol was carried out for an optimized crystal structure of K2ReTe.

Results
Density = 6.67 g/cm3
Formation energy from raw total energies = 946 meV per atom
Final energy = -15.340 eV per cell

a = 6.2306 Å, b = 6.2306 Å, c = 6.2306 Å
α = 140.35°, β = 140.35°, γ = 57.32°
Element x y z (fractional)
K: 0.2500 0.7500 0.5000
K: 0.7500 0.2500 0.5000
Re: 0.0000 0.0000 0.0000
Te: 0.5000 0.5000 0.0000

***

A plane-wave DFT calculation with GGA-PBEsol was carried out for an optimized crystal structure of K2ReTe.

Results
Density = 6.65 g/cm3
Formation energy from raw total energies = 827 meV per atom
Final energy = -15.818 eV per cell

a = 2.9708 Å, b = 2.9708 Å, c = 11.0927 Å
α = 90.00°, β = 90.00°, γ = 90.77°
Element x y z (fractional)
K: 0.0000 0.0000 0.2434
K: 0.0000 0.0000 0.7566
Re: 0.5000 0.5000 0.0000
Te: 0.5000 0.5000 0.5000

***

A plane-wave DFT calculation with GGA-PBEsol was carried out for an optimized crystal structure of K2ReTe2.

Results
Density = 4.75 g/cm3
Formation energy from raw total energies = 1049 meV per atom
Final energy = -17.404 eV per cell

a = 9.9736 Å, b = 9.9736 Å, c = 9.9736 Å
α = 154.65°, β = 154.65°, γ = 36.16°
Element x y z (fractional)
K: 0.1048 0.1048 0.0000
K: 0.8952 0.8952 0.0000
Re: 0.5000 0.5000 0.0000
Te: 0.2500 0.7500 0.5000
Te: 0.7500 0.2500 0.5000

***

A plane-wave DFT calculation with GGA-PBEsol was carried out for an optimized crystal structure of K2TlRe.

Results
Density = 7.99 g/cm3
Energy relative to the elements = 1059.5 meV per atom
Final energy = -13.991 eV per cell

a = 2.8694 Å, b = 2.8694 Å, c = 11.8264 Å
α = 90.00°, β = 90.00°, γ = 90.00°
Element x y z (fractional)
K: 0.0000 0.0000 0.2307
K: 0.0000 0.0000 0.7693
Tl: 0.5000 0.5000 0.5000
Re: 0.5000 0.5000 0.0000

***

A plane-wave DFT calculation with GGA-PBEsol was carried out for an optimized crystal structure of KTl2Re.

Results
Density = 11.45 g/cm3
Offset from the most stable computed form = 270 meV/atom
Energy relative to the elements = 938.1 meV per atom
Final energy = -15.973 eV per cell

a = 3.0106 Å, b = 3.0106 Å, c = 10.6940 Å
α = 90.00°, β = 90.00°, γ = 108.42°
Element x y z (fractional)
K: 0.0000 0.0000 0.0000
Tl: 0.0000 0.0000 0.5387
Tl: 0.5000 0.5000 0.2855
Re: 0.5000 0.5000 0.7483

***

A plane-wave DFT calculation with GGA-PBEsol was carried out for an optimized crystal structure of KTl2Re.

Results
Density = 11.75 g/cm3
Offset from the most stable computed form = 61 meV/atom
Energy relative to the elements = 728.4 meV per atom
Final energy = -16.812 eV per cell

a = 10.5458 Å, b = 10.5458 Å, c = 10.5458 Å
α = 17.21°, β = 17.21°, γ = 17.21°
Element x y z (fractional)
K: 0.0000 0.0000 0.0000
Tl: 0.2398 0.2398 0.2398
Tl: 0.7602 0.7602 0.7602
Re: 0.5000 0.5000 0.5000

***

A plane-wave DFT calculation with GGA-PBEsol was carried out for an optimized crystal structure of KTlRe2.

Results
Density = 10.74 g/cm3
Energy relative to the elements = 828.9 meV per atom
Final energy = -27.112 eV per cell

a = 4.3280 Å, b = 4.3280 Å, c = 8.0445 Å
α = 94.61°, β = 94.61°, γ = 39.35°
Element x y z (fractional)
K: 0.0000 0.0000 0.0000
Tl: 0.2402 0.2402 0.6686
Re: 0.5027 0.5027 0.4263
Re: 0.7700 0.7700 0.3180

***

A plane-wave DFT calculation with GGA-PBEsol was carried out for an optimized crystal structure of KTl2Re.

Results
Density = 11.70 g/cm3
Offset from the most stable computed form = 0 meV/atom
Energy relative to the elements = 667.7 meV per atom
Final energy = -17.055 eV per cell

a = 3.0424 Å, b = 3.0424 Å, c = 9.7262 Å
α = 90.00°, β = 90.00°, γ = 90.00°
Element x y z (fractional)
K: 0.0000 0.0000 0.0000
Tl: 0.5000 0.5000 0.2850
Tl: 0.5000 0.5000 0.7150
Re: 0.0000 0.0000 0.5000

***

A plane-wave DFT calculation with GGA-PBEsol was carried out for an optimized crystal structure of KRe2W.

Results
Density = 11.37 g/cm3
Offset from the most stable computed form = 0 meV/atom
Energy relative to the elements = 1043.2 meV per atom
Final energy = -37.432 eV per cell

a = 2.7262 Å, b = 4.0518 Å, c = 7.8703 Å
α = 90.00°, β = 90.00°, γ = 90.00°
Element x y z (fractional)
K: 0.0000 0.0000 0.0000
Re: 0.5000 0.5000 0.3473
Re: 0.5000 0.5000 0.6527
W: 0.0000 0.0000 0.5000

***

A plane-wave DFT calculation with GGA-PBEsol was carried out for an optimized crystal structure of KReW2.

Results
Density = 13.37 g/cm3
Offset from the most stable computed form = 0 meV/atom
Energy relative to the elements = 917.1 meV per atom
Final energy = -38.412 eV per cell

a = 10.7186 Å, b = 10.7186 Å, c = 10.7186 Å
α = 15.19°, β = 15.19°, γ = 15.19°
Element x y z (fractional)
K: 0.0000 0.0000 0.0000
Re: 0.5000 0.5000 0.5000
W: 0.2349 0.2349 0.2349
W: 0.7651 0.7651 0.7651

***

A plane-wave DFT calculation with GGA-PBEsol was carried out for an optimized crystal structure of K2ReW.

Results
Density = 8.99 g/cm3
Energy relative to the elements = 1584.4 meV per atom
Final energy = -23.069 eV per cell

a = 2.6466 Å, b = 5.2630 Å, c = 5.9468 Å
α = 90.00°, β = 90.00°, γ = 90.00°
Element x y z (fractional)
K: 0.0000 0.2487 0.0000
K: 0.0000 0.7513 0.0000
Re: 0.5000 0.0000 0.5000
W: 0.5000 0.5000 0.5000

***

A plane-wave DFT calculation with GGA-PBEsol was carried out for an optimized crystal structure of KRe2W.

Results
Density = 15.04 g/cm3
Offset from the most stable computed form = 582 meV/atom
Energy relative to the elements = 1625.7 meV per atom
Final energy = -35.102 eV per cell

a = 4.5305 Å, b = 4.5305 Å, c = 4.5305 Å
α = 60.00°, β = 60.00°, γ = 60.00°
Element x y z (fractional)
K: 0.0000 0.0000 0.0000
Re: 0.2500 0.2500 0.2500
Re: 0.7500 0.7500 0.7500
W: 0.5000 0.5000 0.5000

***

A plane-wave DFT calculation with GGA-PBEsol was carried out for an optimized crystal structure of KReW2.

Results
Density = 14.07 g/cm3
Offset from the most stable computed form = 867 meV/atom
Energy relative to the elements = 1784.4 meV per atom
Final energy = -34.943 eV per cell

a = 2.6446 Å, b = 5.1157 Å, c = 5.1720 Å
α = 90.00°, β = 90.00°, γ = 90.00°
Element x y z (fractional)
K: 0.0000 0.0000 0.0000
Re: 0.5000 0.0000 0.5000
W: 0.0000 0.5000 0.5000
W: 0.5000 0.5000 0.0000

***

A plane-wave DFT calculation with GGA-PBEsol was carried out for an optimized crystal structure of KReW.

Results
Density = 12.01 g/cm3
Energy relative to the elements = 1013.9 meV per atom
Final energy = -25.231 eV per cell

a = 8.5178 Å, b = 8.3507 Å, c = 2.7285 Å
α = 84.17°, β = 77.24°, γ = 18.58°
Element x y z (fractional)
K: 0.0000 0.0000 0.0000
Re: 0.3213 0.3213 0.6787
W: 0.6915 0.6915 0.3085

***

A plane-wave DFT calculation with GGA-PBEsol was carried out for an optimized crystal structure of KRe2W.

Results
Density = 14.47 g/cm3
Offset from the most stable computed form = 560 meV/atom
Energy relative to the elements = 1603.2 meV per atom
Final energy = -35.192 eV per cell

a = 5.4681 Å, b = 5.4681 Å, c = 2.5487 Å
α = 90.00°, β = 90.00°, γ = 116.27°
Element x y z (fractional)
K: 0.0000 0.0000 0.0000
Re: 0.0000 0.5000 0.5000
Re: 0.5000 0.0000 0.5000
W: 0.5000 0.5000 0.0000